(1)
Compound: BaZr2Tc
Source: the Alexandria database
Functional: PBE-GGA
Structure: relaxed

## Properties
E_form, eV per atom: 0.802

Cell lengths 3.491, 5.259, 5.073 Å; angles 90.00, 90.00, 90.00 degrees
Element x y z (fractional)
Ba (0.500, 0.000, 0.500)
Tc (0.000, 0.500, 0.500)
Zr (0.000, 0.000, 0.000)
Zr (0.500, 0.500, 0.000)

***

(2)
Compound: Ba2ZrTc
Source: the Alexandria database
Functional: PBE-GGA
Structure: relaxed

## Properties
E_form, eV per atom: 1.140

Cell lengths 11.440, 11.440, 11.440 Å; angles 17.80, 17.80, 17.80 degrees
Element x y z (fractional)
Ba (0.991, 0.991, 0.991)
Ba (0.509, 0.509, 0.509)
Tc (0.250, 0.250, 0.250)
Zr (0.750, 0.750, 0.750)

***

Number 1: total moment 0.189 μB/atom, uncorrected energy -26.2 eV/cell, density of states at the Fermi level 5.917 states/eV/f.u.. Number 2: total moment 0.838 μB/atom, uncorrected energy -18.2 eV/cell, density of states at the Fermi level 4.653 states/eV/f.u..